Record 1
# BePdBr2 (PBE, relaxed)
# Formation energy (no corrections): 179 kJ/mol of formula units
# E above lowest polymorph: 636 meV per atom
data_BePdBr2
_chemical_formula_sum 'Be4 Pd4 Br8'
_cell_length_a 6.6927
_cell_length_b 6.6927
_cell_length_c 6.6927
_cell_angle_alpha 90.00
_cell_angle_beta 90.00
_cell_angle_gamma 90.00
_space_group_name_H-M_alt 'F m -3 m'
_space_group_IT_number 225
_space_group_name_Hall '-F 4 2 3'
loop_
_atom_site_label
_atom_site_type_symbol
_atom_site_fract_x
_atom_site_fract_y
_atom_site_fract_z
_atom_site_occupancy
Be1 Be 0.0000 0.0000 0.0000 1
Pd1 Pd 0.0000 0.0000 0.5000 1
Br1 Br 0.2500 0.2500 0.2500 1

=====

Record 2
The following is a DFT calculation (PBE) of a relaxed Ca2TlHg crystal.

The structure in CIF format:
```
data_Ca2TlHg
_chemical_formula_sum 'Ca8 Tl4 Hg4'
_cell_length_a 7.7142
_cell_length_b 10.8270
_cell_length_c 5.4211
_cell_angle_alpha 90.00
_cell_angle_beta 90.00
_cell_angle_gamma 90.00
_space_group_name_H-M_alt 'C m c m'
_space_group_IT_number 63
_space_group_name_Hall '-C 2c 2'
loop_
_atom_site_label
_atom_site_type_symbol
_atom_site_fract_x
_atom_site_fract_y
_atom_site_fract_z
_atom_site_occupancy
Ca1 Ca 0.2447 0.1240 0.2500 1
Tl1 Tl 0.0000 0.3750 0.2500 1
Hg1 Hg 0.0000 0.1290 0.7500 1
```

=====

DFT total energy? In order: -41.62 -34.69 eV/cell.